Entry 1:
VASP calculation (PBE-GGA) on a relaxed BaPmPt2 crystal.

Cell lengths 5.2408, 5.2408, 5.2408 Å; angles 60.00, 60.00, 60.00 degrees
With the nearest neighbours (Å) after each atom.
Element x y z (fractional)
Pm1 0.0000 0.0000 0.0000  8 Pt 3.21
Ba1 0.5000 0.5000 0.5000  8 Pt 3.21
Pt1 0.2500 0.2500 0.2500  4 Ba 3.21, 4 Pm 3.21
Pt2 0.7500 0.7500 0.7500  4 Ba 3.21, 4 Pm 3.21

Computed properties:
Energy of formation from the pure elements   -73.8 kJ per mole of atoms
Total magnetic moment   0.00 μB per cell

***

Entry 2:
VASP calculation (PBE-GGA) on a relaxed BaPm2Pt9 crystal.

Cell lengths 5.5553, 5.5553, 9.4155 Å; angles 72.84, 72.84, 60.00 degrees
With the nearest neighbours (Å) after each atom.
Element x y z (fractional)
Pt1 0.4122 0.4122 0.2571  7 Pt 2.69-2.83
Pt2 0.5878 0.0814 0.7429  7 Pt 2.69-2.83
Pt3 0.3318 0.3318 0.0045  6 Pt 2.74-2.83
Pt4 0.6682 0.6682 0.9955  6 Pt 2.74-2.83
Pt5 0.5878 0.5878 0.7429  7 Pt 2.69-2.83
Pt6 0.4122 0.9186 0.2571  7 Pt 2.69-2.83
Pt7 0.0814 0.5878 0.7429  7 Pt 2.69-2.83
Pt8 0.9186 0.4122 0.2571  7 Pt 2.69-2.83
Pt9 0.5000 0.5000 0.5000  6 Pt 2.69
Pm1 0.1400 0.1400 0.5801  12 Pt 3.13-3.28
Pm2 0.8600 0.8600 0.4199  12 Pt 3.13-3.28
Ba1 0.0000 0.0000 0.0000  18 Pt 3.21-3.59

Computed properties:
Energy of formation from the pure elements   -79.7 kJ per mole of atoms
Total magnetic moment   0.00 μB per cell

***

Entry 3:
VASP calculation (PBE-GGA) on a relaxed BaPmPt2 crystal.

Cell lengths 4.3443, 4.3481, 7.6013 Å; angles 73.37, 73.40, 60.03 degrees
With the nearest neighbours (Å) after each atom.
Element x y z (fractional)
Pt1 0.2624 0.7626 0.7126  3 Pm 2.94, 3 Ba 3.25
Pt2 0.7376 0.2374 0.2874  3 Pm 2.94, 3 Ba 3.25
Pm1 0.0000 0.5000 0.5000  6 Pt 2.94
Ba1 0.5000 0.0000 0.0000  6 Pt 3.25

Computed properties:
Energy of formation from the pure elements   -81.9 kJ per mole of atoms
Total magnetic moment   0.00 μB per cell

***

Entry 4:
VASP calculation (PBE-GGA) on a relaxed BaPmPt crystal.

Cell lengths 4.2577, 4.2593, 14.4614 Å; angles 81.48, 90.01, 59.99 degrees
With the nearest neighbours (Å) after each atom.
Element x y z (fractional)
Pt1 0.6521 0.3957 0.5603  3 Pm 2.99, 3 Ba 3.19-3.20
Pt2 0.9051 0.8897 0.3203  6 Pm 2.85-3.00
Ba1 0.1253 0.4496 0.9779  3 Pm 4.23-4.24, 9 Ba 4.26-4.62
Ba2 0.3670 0.9660 0.7036  3 Pt 3.19-3.20
Pm1 0.2789 0.1422 0.4410  6 Pt 2.99-3.00
Pm2 0.5382 0.6237 0.2198  3 Pt 2.85

Computed properties:
Energy of formation from the pure elements   -60.3 kJ per mole of atoms
Total magnetic moment   0.00 μB per cell

***

Entry 5:
VASP calculation (PBE-GGA) on a relaxed Ba2PmPt crystal.

Cell lengths 4.1623, 4.1623, 11.8517 Å; angles 79.89, 79.89, 60.00 degrees
With the nearest neighbours (Å) after each atom.
Element x y z (fractional)
Ba1 0.8890 0.8890 0.3329  3 Pt 3.09
Ba2 0.1110 0.1110 0.6671  3 Pt 3.09
Pt1 0.5000 0.5000 0.5000  6 Ba 3.09
Pm1 0.0000 0.0000 0.0000  2 Ba 3.86, 6 Pm 4.16

Computed properties:
Energy of formation from the pure elements   -6.7 kJ per mole of atoms
Total magnetic moment   0.50 μB per cell

***

Entry 6:
VASP calculation (PBE-GGA) on a relaxed BaPmPt2 crystal.

Cell lengths 3.6941, 3.6941, 7.5986 Å; angles 90.00, 90.00, 90.00 degrees
With the nearest neighbours (Å) after each atom.
Element x y z (fractional)
Pt1 0.0000 0.0000 0.2038  4 Pm 3.04, 1 Pt 3.10
Pt2 0.0000 0.0000 0.7962  4 Pm 3.04, 1 Pt 3.10
Pm1 0.5000 0.5000 0.0000  8 Pt 3.04
Ba1 0.5000 0.5000 0.5000  8 Pt 3.45, 4 Ba 3.69, 2 Pm 3.80

Computed properties:
Energy of formation from the pure elements   -88.2 kJ per mole of atoms
Total magnetic moment   0.00 μB per cell

***

Entry 7:
VASP calculation (PBE-GGA) on a relaxed BaPmPt crystal.

Cell lengths 7.0855, 4.3893, 4.3893 Å; angles 120.00, 90.00, 90.00 degrees
With the nearest neighbours (Å) after each atom.
Element x y z (fractional)
Ba1 0.7558 0.6667 0.3333  3 Pt 3.19
Pt1 0.0295 0.0000 0.0000  3 Pm 2.85, 3 Ba 3.19
Pm1 0.2147 0.3333 0.6667  3 Pt 2.85

Computed properties:
Energy of formation from the pure elements   -60.8 kJ per mole of atoms
Total magnetic moment   0.00 μB per cell

***

Entry 8:
VASP calculation (PBE-GGA) on a relaxed BaPm3Pt crystal.

Cell lengths 5.7584, 5.7584, 5.7584 Å; angles 90.00, 90.00, 90.00 degrees
With the nearest neighbours (Å) after each atom.
Element x y z (fractional)
Ba1 0.5000 0.5000 0.5000  12 Pm 4.07
Pm1 0.5000 0.0000 0.0000  2 Pt 2.88
Pm2 0.0000 0.5000 0.0000  2 Pt 2.88
Pm3 0.0000 0.0000 0.5000  2 Pt 2.88
Pt1 0.0000 0.0000 0.0000  6 Pm 2.88

Computed properties:
Energy of formation from the pure elements   -31.9 kJ per mole of atoms
Total magnetic moment   0.00 μB per cell

***

Entry 9:
VASP calculation (PBE-GGA) on a relaxed Ba2PmSb3Pt4 crystal.

Cell lengths 4.7669, 4.7669, 11.3167 Å; angles 90.00, 90.00, 90.00 degrees
With the nearest neighbours (Å) after each atom.
Element x y z (fractional)
Sb1 0.5000 0.0000 0.8815  5 Pt 2.69-2.73
Sb2 0.0000 0.5000 0.1185  5 Pt 2.69-2.73
Sb3 0.0000 0.0000 0.5000  4 Pt 2.89
Pm1 0.5000 0.5000 0.5000  4 Pt 2.89
Ba1 0.0000 0.5000 0.7708  8 Pt 3.52-3.66, 7 Sb 3.60-3.94, 2 Pm 3.88
Ba2 0.5000 0.0000 0.2292  8 Pt 3.52-3.66, 7 Sb 3.60-3.94, 2 Pm 3.88
Pt1 0.5000 0.5000 0.0000  4 Sb 2.73
Pt2 0.0000 0.0000 0.0000  4 Sb 2.73
Pt3 0.0000 0.5000 0.3561  3 Sb 2.69-2.89, 2 Pm 2.89
Pt4 0.5000 0.0000 0.6439  3 Sb 2.69-2.89, 2 Pm 2.89

Computed properties:
Formation energy from raw total energies   -8.8 eV per formula unit
Total magnetic moment   0.00 μB per cell

***

Entry 10:
VASP calculation (PBE-GGA) on a relaxed Ba2PmSn3Pt4 crystal.

Cell lengths 4.7893, 4.7893, 11.2550 Å; angles 90.00, 90.00, 90.00 degrees
With the nearest neighbours (Å) after each atom.
Element x y z (fractional)
Sn1 0.5000 0.0000 0.8842  5 Pt 2.71-2.73
Sn2 0.0000 0.5000 0.1158  5 Pt 2.71-2.73
Sn3 0.0000 0.0000 0.5000  4 Pt 2.89
Pm1 0.5000 0.5000 0.5000  4 Pt 2.89
Pt1 0.5000 0.0000 0.6432  3 Sn 2.71-2.89, 2 Pm 2.89
Pt2 0.0000 0.5000 0.3568  3 Sn 2.71-2.89, 2 Pm 2.89
Pt3 0.5000 0.5000 0.0000  4 Sn 2.73
Pt4 0.0000 0.0000 0.0000  4 Sn 2.73
Ba1 0.5000 0.0000 0.2317  8 Pt 3.54-3.67, 7 Sn 3.63-3.91, 2 Pm 3.85
Ba2 0.0000 0.5000 0.7683  8 Pt 3.54-3.67, 7 Sn 3.63-3.91, 2 Pm 3.85

Computed properties:
Energy of formation from the pure elements   -81.6 kJ per mole of atoms
Total magnetic moment   0.00 μB per cell

***

Entry 11:
VASP calculation (PBE-GGA) on a relaxed Ba3Pm3PuSe8 crystal.

Cell lengths 8.6271, 8.6292, 9.0400 Å; angles 118.51, 90.00, 119.99 degrees
With the nearest neighbours (Å) after each atom.
Element x y z (fractional)
Ba1 0.0000 0.5000 0.0000  6 Se 3.26-3.29
Ba2 0.5000 0.5000 0.0000  6 Se 3.26-3.29
Ba3 0.0000 0.0000 0.0000  6 Se 3.26-3.28
Se1 0.2395 0.9773 0.7167  2 Pm 2.98, 1 Pu 2.99, 2 Ba 3.28-3.29
Se2 0.7378 0.9773 0.7167  2 Pm 2.98, 1 Pu 2.99, 2 Ba 3.28-3.29
Se3 0.2597 0.5193 0.2791  3 Pm 3.00, 3 Ba 3.26
Se4 0.7605 0.0227 0.2833  2 Pm 2.98, 1 Pu 2.99, 2 Ba 3.28-3.29
Se5 0.2622 0.0227 0.2833  2 Pm 2.98, 1 Pu 2.99, 2 Ba 3.28-3.29
Se6 0.7605 0.5211 0.2833  2 Pm 2.98, 1 Pu 2.99, 2 Ba 3.28
Se7 0.2395 0.4789 0.7167  2 Pm 2.98, 1 Pu 2.99, 2 Ba 3.28
Se8 0.7403 0.4807 0.7209  3 Pm 3.00, 3 Ba 3.26
Pm1 0.5000 0.5000 0.5000  6 Se 2.98-3.00
Pm2 0.5000 0.0000 0.5000  6 Se 2.98-3.00
Pm3 0.0000 0.5000 0.5000  6 Se 2.98-3.00
Pu1 0.0000 0.0000 0.5000  6 Se 2.99

Computed properties:
Formation energy from raw total energies   -28.0 eV per formula unit
Total magnetic moment   5.61 μB per cell

***

Entry 12:
VASP calculation (PBE-GGA) on a relaxed BaPm2Rh crystal.

Cell lengths 4.1813, 4.1813, 10.2150 Å; angles 78.19, 78.19, 60.00 degrees
With the nearest neighbours (Å) after each atom.
Element x y z (fractional)
Pm1 0.2839 0.2839 0.1484  3 Rh 2.83
Pm2 0.7161 0.7161 0.8516  3 Rh 2.83
Rh1 0.0000 0.0000 0.0000  6 Pm 2.83
Ba1 0.5000 0.5000 0.5000  6 Ba 4.18, 6 Pm 4.24

Computed properties:
Energy of formation from the pure elements   -32.8 kJ per mole of atoms
Total magnetic moment   0.00 μB per cell